No. 1
Compound: DyPaMnOs
Source: the Alexandria database
Functional: PBE-GGA
Structure: relaxed

Cell and atoms, written as POSCAR:
```
DyPaMnOs
1.0
0.000 3.419 3.419
3.419 0.000 3.419
3.419 3.419 0.000
Dy Pa Mn Os
1 1 1 1
Direct
0.000 0.000 0.000 Dy
0.500 0.500 0.500 Pa
0.250 0.250 0.250 Mn
0.750 0.750 0.750 Os
```

---

No. 2
Compound: DyTmMnOs
Source: the Alexandria database
Functional: PBE-GGA
Structure: relaxed

Cell and atoms, written as POSCAR:
```
DyTmMnOs
1.0
0.000 3.443 3.443
3.443 0.000 3.443
3.443 3.443 0.000
Dy Tm Mn Os
1 1 1 1
Direct
0.000 0.000 0.000 Dy
0.500 0.500 0.500 Tm
0.750 0.750 0.750 Mn
0.250 0.250 0.250 Os
```

---

No. 3
Compound: DyZrMnOs
Source: the Alexandria database
Functional: PBE-GGA
Structure: relaxed

Cell and atoms, written as POSCAR:
```
DyZrMnOs
1.0
0.000 3.361 3.361
3.361 0.000 3.361
3.361 3.361 0.000
Dy Zr Mn Os
1 1 1 1
Direct
0.000 0.000 0.000 Dy
0.500 0.500 0.500 Zr
0.750 0.750 0.750 Mn
0.250 0.250 0.250 Os
```

---

No. 4
Compound: DyMnP2
Source: the Alexandria database
Functional: PBE-GGA
Structure: relaxed

Cell and atoms, written as POSCAR:
```
DyMnP2
1.0
1.953 1.128 4.738
-1.953 1.128 4.738
0.000 -2.256 4.738
Dy Mn P
1 1 2
Direct
0.000 0.000 0.000 Dy
0.500 0.500 0.500 Mn
0.212 0.212 0.212 P
0.788 0.788 0.788 P
```

---

No. 5
Compound: Dy2MnP3Rh4
Source: the Alexandria database
Functional: PBE-GGA
Structure: relaxed

Cell and atoms, written as POSCAR:
```
Dy2MnP3Rh4
1.0
4.007 0.000 0.000
0.000 4.007 0.000
0.000 0.000 10.120
Dy Mn P Rh
2 1 3 4
Direct
0.000 0.500 0.248 Dy
0.500 0.000 0.752 Dy
0.000 0.000 0.500 Mn
0.000 0.500 0.863 P
0.500 0.000 0.137 P
0.500 0.500 0.500 P
0.000 0.000 0.000 Rh
0.000 0.500 0.638 Rh
0.500 0.000 0.362 Rh
0.500 0.500 0.000 Rh
```

---

No. 6
Compound: DyMnP2Ru
Source: the Alexandria database
Functional: PBE-GGA
Structure: relaxed

Cell and atoms, written as POSCAR:
```
DyMnP2Ru
1.0
-1.999 1.999 4.728
1.999 -1.999 4.728
1.999 1.999 -4.728
Dy Mn P Ru
1 1 2 1
Direct
0.000 0.000 0.000 Dy
0.750 0.250 0.500 Mn
0.370 0.370 0.000 P
0.630 0.630 0.000 P
0.250 0.750 0.500 Ru
```

---

No. 7
Compound: DyMnTcP2
Source: the Alexandria database
Functional: PBE-GGA
Structure: relaxed

Cell and atoms, written as POSCAR:
```
DyMnTcP2
1.0
-1.998 1.998 4.851
1.998 -1.998 4.851
1.998 1.998 -4.851
Dy Mn Tc P
1 1 1 2
Direct
0.000 0.000 0.000 Dy
0.750 0.250 0.500 Mn
0.250 0.750 0.500 Tc
0.372 0.372 0.000 P
0.628 0.628 0.000 P
```

---

No. 8
Compound: DyPaMn4
Source: the Alexandria database
Functional: PBE-GGA
Structure: relaxed

Cell and atoms, written as POSCAR:
```
DyPaMn4
1.0
0.000 3.624 3.624
3.624 0.000 3.624
3.624 3.624 0.000
Dy Pa Mn
1 1 4
Direct
0.000 0.000 0.000 Dy
0.750 0.750 0.750 Pa
0.376 0.376 0.376 Mn
0.376 0.376 0.873 Mn
0.376 0.873 0.376 Mn
0.873 0.376 0.376 Mn
```

---

Number 1: mass density 13.3 g/cm3, energy relative to the elements -20 meV/atom. Number 2: mass density 11.7 g/cm3, energy relative to the elements -40 meV/atom. Number 3: mass density 10.9 g/cm3, energy relative to the elements -76 meV/atom. Number 4: mass density 7.4 g/cm3, energy relative to the elements -834 meV/atom. Number 5: mass density 9.0 g/cm3, energy relative to the elements -968 meV/atom. Number 6: mass density 8.4 g/cm3, energy relative to the elements -965 meV/atom. Number 7: mass density 8.1 g/cm3, energy relative to the elements -888 meV/atom. Number 8: mass density 10.7 g/cm3, energy relative to the elements 40 meV/atom.